# 1
## ZnRe2Br (GGA-PBE)

Data for crystalline ZnRe2Br at its relaxed geometry.

Lattice parameters (Å, degrees): 3.849 3.849 4.457 90.00 90.00 90.00
Sites, in units of the cell vectors:
Zn  0.000  0.000  0.000
Re  0.000  0.500  0.500
Re  0.500  0.000  0.500
Br  0.500  0.500  0.000

Computed properties:
**Energy above the lowest structure with this stoichiometry**: 1.109 eV/atom
**Theoretical density**: 13023 kg/m³

# 2
## LiPm6Sm5 (GGA-PBE)

Data for crystalline LiPm6Sm5 at its relaxed geometry.

Lattice parameters (Å, degrees): 6.267 6.267 11.911 95.03 95.03 120.02
Sites, in units of the cell vectors:
Li  0.000  0.000  0.000
Pm  0.082  0.415  0.249
Pm  0.250  0.250  0.751
Pm  0.415  0.082  0.249
Pm  0.585  0.918  0.751
Pm  0.750  0.750  0.249
Pm  0.918  0.585  0.751
Sm  0.166  0.834  0.500
Sm  0.333  0.667  0.000
Sm  0.500  0.500  0.500
Sm  0.667  0.333  0.000
Sm  0.834  0.166  0.500

Computed properties:
**Theoretical density**: 6782 kg/m³
**Calculated formation energy**: 0.06 eV/atom

# 3
## Ca2SnGe3Pt4 (GGA-PBE)

Data for crystalline Ca2SnGe3Pt4 at its relaxed geometry.

Lattice parameters (Å, degrees): 4.366 4.366 10.558 90.00 90.00 90.00
Sites, in units of the cell vectors:
Ca  0.000  0.500  0.241
Ca  0.500  0.000  0.759
Sn  0.000  0.000  0.500
Ge  0.000  0.500  0.876
Ge  0.500  0.000  0.124
Ge  0.500  0.500  0.500
Pt  0.000  0.000  0.000
Pt  0.000  0.500  0.644
Pt  0.500  0.000  0.356
Pt  0.500  0.500  0.000

Computed properties:
**Theoretical density**: 9878 kg/m³
**Calculated formation energy**: -0.77 eV/atom

# 4
## SiHgIr (GGA-PBE)

Data for crystalline SiHgIr at its relaxed geometry.

Lattice parameters (Å, degrees): 4.045 4.045 3.818 90.00 90.00 120.00
Sites, in units of the cell vectors:
Si  0.000  0.000  0.000
Hg  0.333  0.667  0.500
Ir  0.667  0.333  0.000

Computed properties:
**Energy above the lowest structure with this stoichiometry**: 0.000 eV/atom
**Theoretical density**: 12921 kg/m³

What did we get for total magnetization? Answer: 0.148 0.000 0.000 0.000 μB/f.u., in the order shown.